No. 1
Material: Cu2Ge2H
Method: DFT, PBE-GGA
State: relaxed

a = 6.9988 Å, b = 6.9988 Å, c = 2.9805 Å
α = 90.00°, β = 90.00°, γ = 90.00°
Atoms (fractional coordinates):
Ge 0.8274 0.3274 0.5000
Ge 0.1726 0.6726 0.5000
Ge 0.6726 0.8274 0.5000
Ge 0.3274 0.1726 0.5000
Cu 0.6285 0.1285 0.0000
Cu 0.1285 0.3715 0.0000
Cu 0.3715 0.8715 0.0000
Cu 0.8715 0.6285 0.0000
H 0.5000 0.5000 0.0000
H 0.0000 0.0000 0.0000

No. 2
Material: CuGeH
Method: DFT, PBE-GGA
State: relaxed

a = 2.9650 Å, b = 2.9650 Å, c = 4.6034 Å
α = 108.79°, β = 108.79°, γ = 90.00°
Atoms (fractional coordinates):
H 0.3662 0.3662 0.7324
Ge 0.5885 0.5885 0.1769
Cu 0.8953 0.8953 0.7907

No. 3
Material: CuGeH
Method: DFT, PBE-GGA
State: relaxed

a = 3.6276 Å, b = 3.6276 Å, c = 7.0811 Å
α = 90.00°, β = 90.00°, γ = 90.00°
Atoms (fractional coordinates):
Cu 0.0000 0.0000 0.5000
Cu 0.5000 0.5000 0.5000
H 0.0000 0.5000 0.0514
H 0.5000 0.0000 0.9486
Ge 0.5000 0.0000 0.7300
Ge 0.0000 0.5000 0.2700

No. 4
Material: Cu2GeH4
Method: DFT, PBE-GGA
State: relaxed

a = 3.9374 Å, b = 3.9374 Å, c = 5.3596 Å
α = 68.45°, β = 68.45°, γ = 90.00°
Atoms (fractional coordinates):
H 0.1977 0.1977 0.6045
H 0.5000 0.0000 0.0000
H 0.8023 0.8023 0.3955
H 0.0000 0.5000 0.0000
Cu 0.6286 0.6286 0.7427
Cu 0.3714 0.3714 0.2573
Ge 0.0000 0.0000 0.0000

no.,E (eV per atom)
1,-3.6301
2,-3.6379
3,-3.7195
4,-3.1455